1.
Entry from the Alexandria database: an optimized crystal structure of La2PmNd5Dy (PBE-GGA).

Cell: 10.325 10.325 10.325 Å, 129.64 129.64 73.98°
Atoms (fractional coordinates):
La 0.120 0.620 0.740
La 0.380 0.120 0.500
La 0.620 0.880 0.500
La 0.880 0.380 0.260
Pm 0.250 0.250 0.000
Pm 0.750 0.750 0.000
Nd 0.000 0.000 0.000
Nd 0.075 0.139 0.500
Nd 0.139 0.639 0.064
Nd 0.361 0.425 0.500
Nd 0.425 0.925 0.064
Nd 0.500 0.500 0.000
Nd 0.575 0.075 0.936
Nd 0.639 0.575 0.500
Nd 0.861 0.361 0.936
Nd 0.925 0.861 0.500
Dy 0.250 0.750 0.500
Dy 0.750 0.250 0.500

Values from the calculation:
Raw total energy in eV for the cell shown: -81.68
SG: I4/mcm (140)
ΔH_f (0 K) in eV/f.u.: 2.2
N(E_F) in states/eV/cell: 28.601
Volume in A^3/atom: 35.37

---

2.
Entry from the Alexandria database: an optimized crystal structure of ZrHgOs (PBE-GGA).

Cell: 4.551 4.551 4.551 Å, 60.00 60.00 60.00°
Atoms (fractional coordinates):
Zr 0.000 0.000 0.000
Hg 0.500 0.500 0.500
Os 0.750 0.750 0.750

Values from the calculation:
Raw total energy in eV for the cell shown: -19.18
SG: F-43m (216)
Excess energy over the best structure of this formula in the dataset in eV/atom: 0.3259
ΔH_f (0 K) in eV/f.u.: 0.9
N(E_F) in states/eV/cell: 1.168
Volume in A^3/atom: 22.21